Record 1
# SrLa2Pm3Te6 | Alexandria via LeMat-Bulk | PBE | relaxed
# - total energy (eV/cell) = -125.71
# - DOS(E_F) (states/eV/cell) = 12.75
data_SrLa2Pm3Te6
_chemical_formula_sum 'Sr2 La4 Pm6 Te12'
_space_group_name_H-M_alt 'C 1 2/m 1'
_space_group_IT_number 12
_cell_length_a 19.804
_cell_length_b 4.522
_cell_length_c 9.134
_cell_angle_alpha 90.00
_cell_angle_beta 103.33
_cell_angle_gamma 90.00
loop_
_space_group_symop_operation_xyz
'x,y,z'
'-x,-y,-z'
'-x,y,-z'
'x,-y,z'
'x+1/2,y+1/2,z'
'-x+1/2,-y+1/2,-z'
'-x+1/2,y+1/2,-z'
'x+1/2,-y+1/2,z'
loop_
_atom_site_label
_atom_site_fract_x
_atom_site_fract_y
_atom_site_fract_z
_atom_site_occupancy
Sr1 0.000 0.000 0.000 1
La1 0.170 0.500 0.338 1
Pm1 0.000 0.000 0.500 1
Pm2 0.167 0.500 0.826 1
Te1 0.000 0.500 0.256 1
Te2 0.163 0.000 0.585 1
Te3 0.169 0.000 0.077 1

---

Record 2
# BaMn2NiS8 | Alexandria via LeMat-Bulk | PBE | relaxed
# - total energy (eV/cell) = -195.75
# - DOS(E_F) (states/eV/cell) = 6.57
data_BaMn2NiS8
_chemical_formula_sum 'Ba3 Mn6 Ni3 S24'
_space_group_name_H-M_alt 'R -3'
_space_group_IT_number 148
_space_group_name_Hall '-R 3'
_cell_length_a 5.7815
_cell_length_b 5.7815
_cell_length_c 25.4950
_cell_angle_alpha 90.00
_cell_angle_beta 90.00
_cell_angle_gamma 120.00
loop_
_atom_site_label
_atom_site_fract_x
_atom_site_fract_y
_atom_site_fract_z
_atom_site_occupancy
Ba1 0.0000 0.0000 0.0000 1
Mn1 0.0000 0.0000 0.2481 1
Ni1 0.0000 0.0000 0.5000 1
S1 0.0000 0.0000 0.3290 1
S2 0.0030 0.6748 0.7840 1

---

Record 3
# GdErGaHg | Alexandria via LeMat-Bulk | PBE | relaxed
# - total energy (eV/cell) = -96.19
# - DOS(E_F) (states/eV/cell) = 14.58
# - calculated formation energy (meV/atom) = -519
data_GdErGaHg
_chemical_formula_sum 'Gd4 Er4 Ga4 Hg4'
_space_group_name_H-M_alt 'F -4 3 m'
_space_group_IT_number 216
_space_group_name_Hall 'F -4 2 3'
_cell_length_a 7.330
_cell_length_b 7.330
_cell_length_c 7.330
_cell_angle_alpha 90.00
_cell_angle_beta 90.00
_cell_angle_gamma 90.00
loop_
_atom_site_label
_atom_site_fract_x
_atom_site_fract_y
_atom_site_fract_z
_atom_site_occupancy
Gd1 0.000 0.000 0.000 1
Er1 0.000 0.000 0.500 1
Ga1 0.250 0.250 0.250 1
Hg1 0.250 0.250 0.750 1

---

Record 4
# NaLi2Pt | Alexandria via LeMat-Bulk | PBE | relaxed
# - excess energy over the best structure of this formula in the dataset (eV per atom) = 0.258
# - total energy (eV/cell) = -45.23
# - DOS(E_F) (states/eV/cell) = 5.38
# - calculated formation energy (meV/atom) = -30
data_NaLi2Pt
_chemical_formula_sum 'Na4 Li8 Pt4'
_space_group_name_H-M_alt 'I -4 2 d'
_space_group_IT_number 122
_space_group_name_Hall 'I -4 2bw'
_cell_length_a 4.175
_cell_length_b 4.175
_cell_length_c 17.765
_cell_angle_alpha 90.00
_cell_angle_beta 90.00
_cell_angle_gamma 90.00
loop_
_atom_site_label
_atom_site_fract_x
_atom_site_fract_y
_atom_site_fract_z
_atom_site_occupancy
Na1 0.000 0.000 0.000 1
Li1 0.191 0.250 0.625 1
Pt1 0.000 0.000 0.500 1